Dy2Si2Tc2H | PBE | relaxed

Its crystal system is tetragonal. The total energy is -6.916 eV/atom.

It has space group I4/mmm (No. 139), with a = 4.083 Å, b = 4.083 Å, c = 14.109 Å, α = 90.00°, β = 90.00° and γ = 90.00°. The distinct sites, in fractional coordinates, are Dy at (0.000, 0.000, 0.162), Si at (0.000, 0.000, 0.390), Tc at (0.000, 0.500, 0.000) and H at (0.000, 0.000, 0.000).